(1)
A plane-wave DFT calculation with GGA-PBE was carried out for a relaxed KBa2Nb crystal.

It has space group I-42d (No. 122), with a = 10.033 Å, b = 10.033 Å, c = 8.070 Å, α = 90.00°, β = 90.00° and γ = 90.00°. The distinct sites, in fractional coordinates, are K at (0.000, 0.000, 0.000), Ba at (0.199, 0.750, 0.625) and Nb at (0.000, 0.000, 0.500).

As for the energy relative to the lowest polymorph listed for this composition: 179 meV/atom. Its formation enthalpy at 0 K is 1038 meV per atom.

***

(2)
A plane-wave DFT calculation with GGA-PBE was carried out for a relaxed K2LaCr crystal.

It has space group Imm2 (No. 44), with a = 3.751 Å, b = 6.879 Å, c = 13.924 Å, α = 90.00°, β = 90.00° and γ = 90.00°. The distinct sites, in fractional coordinates, are K at (0.000, 0.000, 0.000), K at (0.000, 0.500, 0.196), La at (0.000, 0.500, 0.811) and Cr at (0.000, 0.000, 0.474).

As for the energy relative to the lowest polymorph listed for this composition: 223 meV/atom. Its formation enthalpy at 0 K is 766 meV per atom.